[1]
An optimized crystal structure of Rb3Tm2PaS6, computed with PBE-GGA.

Values from the calculation:
For the formation energy from raw total energies, the calculation gives -1.6863 eV/atom. Its symmetry is C2/m (12).

Geometry as POSCAR:
```
Rb3Tm2PaS6
1.0
-1.938 -6.716 -0.266
6.274 1.731 2.566
-4.494 2.262 6.283
S Rb Tm Pa
6 3 2 1
Direct
0.399 0.064 0.192 S
0.729 0.729 0.192 S
0.064 0.399 0.192 S
0.936 0.601 0.808 S
0.271 0.271 0.808 S
0.601 0.936 0.808 S
0.833 0.167 0.500 Rb
0.500 0.500 0.500 Rb
0.167 0.833 0.500 Rb
0.333 0.667 0.000 Tm
0.667 0.333 0.000 Tm
0.000 0.000 0.000 Pa
```

[2]
An optimized crystal structure of Rb2UPaS6, computed with PBE-GGA.

Values from the calculation:
For the formation energy from raw total energies, the calculation gives -1.4631 eV/atom. Its symmetry is Fm-3m (225).

Geometry as POSCAR:
```
Rb2UPaS6
1.0
7.426 0.000 0.000
0.000 7.428 0.000
3.714 3.714 5.252
U S Pa Rb
1 6 1 2
Direct
0.500 0.500 0.000 U
0.251 0.251 0.000 S
0.251 0.749 0.000 S
0.749 0.749 0.502 S
0.749 0.251 0.000 S
0.251 0.251 0.498 S
0.749 0.749 0.000 S
0.000 0.000 0.000 Pa
0.750 0.250 0.500 Rb
0.250 0.750 0.500 Rb
```

[3]
An optimized crystal structure of Rb2U2PaS6, computed with PBE-GGA.

Values from the calculation:
For the formation energy from raw total energies, the calculation gives -1.4623 eV/atom. Its symmetry is C2/m (12).

Geometry as POSCAR:
```
Rb2U2PaS6
1.0
-6.250 -0.265 -2.996
5.555 -2.461 -3.347
-1.007 -6.264 5.329
S Rb U Pa
6 2 2 1
Direct
0.606 0.939 0.311 S
0.939 0.606 0.311 S
0.394 0.061 0.689 S
0.061 0.394 0.689 S
0.266 0.266 0.310 S
0.734 0.734 0.690 S
0.167 0.833 0.000 Rb
0.833 0.167 0.000 Rb
0.335 0.665 0.500 U
0.665 0.335 0.500 U
0.000 0.000 0.500 Pa
```

[4]
An optimized crystal structure of Rb3U3PaS8, computed with PBE-GGA.

Values from the calculation:
For the formation energy from raw total energies, the calculation gives -1.4353 eV/atom. Its symmetry is R-3m (166).

Geometry as POSCAR:
```
Rb3U3PaS8
1.0
-7.725 0.579 -2.149
2.325 -5.732 5.136
-0.294 8.526 3.355
S Rb Pa U
8 3 1 3
Direct
0.266 0.038 0.310 S
0.228 0.456 0.690 S
0.228 0.962 0.690 S
0.731 0.462 0.693 S
0.269 0.538 0.307 S
0.772 0.038 0.310 S
0.734 0.962 0.690 S
0.772 0.544 0.310 S
0.500 0.500 0.000 Rb
0.000 0.000 0.000 Rb
0.000 0.500 0.000 Rb
0.000 0.000 0.500 Pa
0.000 0.500 0.500 U
0.500 0.000 0.500 U
0.500 0.500 0.500 U
```

[5]
An optimized crystal structure of Rb3U2PaS6, computed with PBE-GGA.

Values from the calculation:
For the formation energy from raw total energies, the calculation gives -1.3927 eV/atom. Its symmetry is C2/m (12).

Geometry as POSCAR:
```
Rb3U2PaS6
1.0
-2.015 -0.493 6.689
5.603 -3.554 -2.240
3.384 7.417 0.345
U S Pa Rb
2 6 1 3
Direct
0.667 0.333 0.000 U
0.333 0.667 0.000 U
0.397 0.065 0.196 S
0.266 0.266 0.804 S
0.935 0.603 0.804 S
0.603 0.935 0.804 S
0.734 0.734 0.196 S
0.065 0.397 0.196 S
0.000 0.000 0.000 Pa
0.500 0.500 0.500 Rb
0.833 0.167 0.500 Rb
0.167 0.833 0.500 Rb
```

[6]
An optimized crystal structure of Rb3UPa3S8, computed with PBE-GGA.

Values from the calculation:
For the formation energy from raw total energies, the calculation gives -1.4822 eV/atom. Its symmetry is R-3m (166).

Geometry as POSCAR:
```
Rb3UPa3S8
1.0
8.014 0.000 0.000
-4.007 6.940 -0.030
0.000 -4.596 7.963
S Rb Pa U
8 3 3 1
Direct
0.768 0.537 0.308 S
0.232 0.960 0.692 S
0.232 0.463 0.692 S
0.732 0.464 0.697 S
0.271 0.040 0.308 S
0.768 0.040 0.308 S
0.268 0.536 0.303 S
0.729 0.960 0.692 S
0.500 0.500 0.000 Rb
0.000 0.000 0.000 Rb
0.000 0.500 0.000 Rb
0.000 0.500 0.500 Pa
0.500 0.000 0.500 Pa
0.500 0.500 0.500 Pa
0.000 0.000 0.500 U
```

[7]
An optimized crystal structure of Rb4U3PaS12, computed with PBE-GGA.

Values from the calculation:
For the formation energy from raw total energies, the calculation gives -1.4067 eV/atom. Its symmetry is Im-3m (229).

Geometry as POSCAR:
```
Rb4U3PaS12
1.0
-6.847 -5.841 -1.174
4.258 -1.857 7.798
-3.260 8.467 0.275
S Rb U Pa
12 4 3 1
Direct
0.500 0.250 0.750 S
0.250 0.500 0.750 S
0.251 0.251 0.000 S
0.750 0.250 0.500 S
0.749 0.000 0.749 S
0.750 0.500 0.250 S
0.500 0.750 0.250 S
0.000 0.251 0.251 S
0.250 0.750 0.500 S
0.000 0.749 0.749 S
0.749 0.749 0.000 S
0.251 0.000 0.251 S
0.500 0.000 0.000 Rb
0.000 0.000 0.500 Rb
0.500 0.500 0.500 Rb
0.000 0.500 0.000 Rb
0.500 0.500 0.000 U
0.500 0.000 0.500 U
0.000 0.500 0.500 U
0.000 0.000 0.000 Pa
```

[8]
An optimized crystal structure of Rb3Pa3VS8, computed with PBE-GGA.

Values from the calculation:
For the formation energy from raw total energies, the calculation gives -1.3979 eV/atom. Its symmetry is R-3m (166).

Geometry as POSCAR:
```
Rb3Pa3VS8
1.0
7.866 0.000 0.001
-3.933 6.812 -0.029
-0.003 -4.510 7.957
S Pa Rb V
8 3 3 1
Direct
0.746 0.964 0.682 S
0.267 0.534 0.301 S
0.782 0.563 0.318 S
0.218 0.964 0.682 S
0.254 0.036 0.318 S
0.218 0.437 0.682 S
0.733 0.466 0.699 S
0.782 0.036 0.318 S
0.500 0.500 0.500 Pa
0.000 0.500 0.500 Pa
0.500 0.000 0.500 Pa
0.000 0.000 0.000 Rb
0.500 0.500 0.000 Rb
0.000 0.500 0.000 Rb
0.000 0.000 0.500 V
```